# CoPO2F, relaxed, DFT PBE with a Hubbard U
data_CoPO2F
_symmetry_space_group_name_H-M 'P 4/m m m'
_symmetry_Int_Tables_number 123
_symmetry_space_group_name_Hall '-P 4 2'
_cell_length_a 3.504
_cell_length_b 3.504
_cell_length_c 4.906
_cell_angle_alpha 90.00
_cell_angle_beta 90.00
_cell_angle_gamma 90.00
loop_
_atom_site_label
_atom_site_type_symbol
_atom_site_fract_x
_atom_site_fract_y
_atom_site_fract_z
Co1 Co 0.000 0.000 0.000
P1 P 0.000 0.000 0.500
O1 O 0.000 0.500 0.000
F1 F 0.500 0.500 0.500
# magnetic moment: 2.87 μB/f.u.
# DFT total energy: -4.59 eV per atom
# calculated volume: 12.0 Å³/atom